(1)
Entry from Alexandria via LeMat-Bulk: a relaxed structure of Pm2Pr4Sm2Tm (PBE).

Values from the calculation:
Energy of formation (meV/atom): 18

Geometry as CIF:
```
data_Pm2Pr4Sm2Tm
_chemical_formula_sum 'Pm2 Pr4 Sm2 Tm1'
_space_group_name_H-M_alt 'P 1'
_space_group_IT_number 1
_cell_length_a 9.7152
_cell_length_b 9.7152
_cell_length_c 9.8336
_cell_angle_alpha 114.94
_cell_angle_beta 114.94
_cell_angle_gamma 21.86
loop_
_space_group_symop_operation_xyz
'x,y,z'
loop_
_atom_site_label
_atom_site_type_symbol
_atom_site_fract_x
_atom_site_fract_y
_atom_site_fract_z
Pm1 Pm 0.1654 0.1654 0.4985
Pm2 Pm 0.8346 0.8346 0.5015
Pr1 Pr 0.0173 0.0173 0.8290
Pr2 Pr 0.3152 0.3152 0.1697
Pr3 Pr 0.6848 0.6848 0.8303
Pr4 Pr 0.9827 0.9827 0.1710
Sm1 Sm 0.3514 0.3514 0.8300
Sm2 Sm 0.6486 0.6486 0.1700
Tm1 Tm 0.5000 0.5000 0.5000
```

(2)
Entry from Alexandria via LeMat-Bulk: a relaxed structure of Ca3RhPb2 (PBE).

Values from the calculation:
Energy of formation (meV/atom): -484

Geometry as CIF:
```
data_Ca3RhPb2
_chemical_formula_sum 'Ca12 Rh4 Pb8'
_space_group_name_H-M_alt 'P 1'
_space_group_IT_number 1
_cell_length_a 12.4927
_cell_length_b 4.7871
_cell_length_c 11.6721
_cell_angle_alpha 90.00
_cell_angle_beta 90.00
_cell_angle_gamma 90.00
loop_
_space_group_symop_operation_xyz
'x,y,z'
loop_
_atom_site_label
_atom_site_type_symbol
_atom_site_fract_x
_atom_site_fract_y
_atom_site_fract_z
Ca1 Ca 0.0581 0.2500 0.1150
Ca2 Ca 0.1088 0.7500 0.5556
Ca3 Ca 0.2286 0.2500 0.8038
Ca4 Ca 0.2714 0.7500 0.3038
Ca5 Ca 0.3912 0.2500 0.0556
Ca6 Ca 0.4419 0.7500 0.6150
Ca7 Ca 0.5581 0.2500 0.3850
Ca8 Ca 0.6088 0.7500 0.9444
Ca9 Ca 0.7286 0.2500 0.6962
Ca10 Ca 0.7714 0.7500 0.1962
Ca11 Ca 0.8912 0.2500 0.4444
Ca12 Ca 0.9419 0.7500 0.8850
Rh1 Rh 0.1114 0.2500 0.3634
Rh2 Rh 0.3886 0.7500 0.8634
Rh3 Rh 0.6114 0.2500 0.1366
Rh4 Rh 0.8886 0.7500 0.6366
Pb1 Pb 0.0155 0.7500 0.2925
Pb2 Pb 0.2086 0.7500 0.0058
Pb3 Pb 0.2914 0.2500 0.5058
Pb4 Pb 0.4845 0.2500 0.7925
Pb5 Pb 0.5155 0.7500 0.2075
Pb6 Pb 0.7086 0.7500 0.4942
Pb7 Pb 0.7914 0.2500 0.9942
Pb8 Pb 0.9845 0.2500 0.7075
```

(3)
Entry from Alexandria via LeMat-Bulk: a relaxed structure of KSm2H (PBE).

Geometry as CIF:
```
data_KSm2H
_chemical_formula_sum 'K1 Sm2 H1'
_space_group_name_H-M_alt 'P 1'
_space_group_IT_number 1
_cell_length_a 10.5948
_cell_length_b 10.5948
_cell_length_c 10.5948
_cell_angle_alpha 20.09
_cell_angle_beta 20.09
_cell_angle_gamma 20.09
loop_
_space_group_symop_operation_xyz
'x,y,z'
loop_
_atom_site_label
_atom_site_type_symbol
_atom_site_fract_x
_atom_site_fract_y
_atom_site_fract_z
K1 K 0.0000 0.0000 0.0000
Sm1 Sm 0.1230 0.1230 0.1230
Sm2 Sm 0.8770 0.8770 0.8770
H1 H 0.5000 0.5000 0.5000
```

(4)
Entry from Alexandria via LeMat-Bulk: a relaxed structure of La8S6Br (PBE).

Values from the calculation:
E_form (uncorrected) (eV per formula unit): -25.33

Geometry as CIF:
```
data_La8S6Br
_chemical_formula_sum 'La8 S6 Br1'
_space_group_name_H-M_alt 'P 1'
_space_group_IT_number 1
_cell_length_a 10.9509
_cell_length_b 10.9509
_cell_length_c 4.2850
_cell_angle_alpha 90.00
_cell_angle_beta 90.00
_cell_angle_gamma 120.00
loop_
_space_group_symop_operation_xyz
'x,y,z'
loop_
_atom_site_label
_atom_site_type_symbol
_atom_site_fract_x
_atom_site_fract_y
_atom_site_fract_z
La1 La 0.0384 0.3597 0.2559
La2 La 0.3213 0.9616 0.2559
La3 La 0.3333 0.6667 0.7470
La4 La 0.3597 0.3213 0.7441
La5 La 0.6403 0.6787 0.2559
La6 La 0.6667 0.3333 0.2530
La7 La 0.6787 0.0384 0.7441
La8 La 0.9616 0.6403 0.7441
S1 S 0.1407 0.6602 0.2461
S2 S 0.3398 0.4805 0.2461
S3 S 0.4805 0.1407 0.7539
S4 S 0.5195 0.8593 0.2461
S5 S 0.6602 0.5195 0.7539
S6 S 0.8593 0.3398 0.7539
Br1 Br 0.0000 0.0000 0.5000
```

(5)
Entry from Alexandria via LeMat-Bulk: a relaxed structure of FeAuSCl2 (PBE).

Values from the calculation:
E_form (uncorrected) (eV per formula unit): 1.35
Energy relative to the lowest polymorph listed for this composition (meV per atom): 0

Geometry as CIF:
```
data_FeAuSCl2
_chemical_formula_sum 'Fe1 Au1 S1 Cl2'
_space_group_name_H-M_alt 'P 1'
_space_group_IT_number 1
_cell_length_a 4.8273
_cell_length_b 4.8273
_cell_length_c 4.1732
_cell_angle_alpha 90.00
_cell_angle_beta 90.00
_cell_angle_gamma 90.00
loop_
_space_group_symop_operation_xyz
'x,y,z'
loop_
_atom_site_label
_atom_site_type_symbol
_atom_site_fract_x
_atom_site_fract_y
_atom_site_fract_z
Fe1 Fe 0.0000 0.0000 0.0000
Au1 Au 0.5000 0.5000 0.5000
S1 S 0.0000 0.0000 0.5000
Cl1 Cl 0.0000 0.5000 0.0000
Cl2 Cl 0.5000 0.0000 0.0000
```

(6)
Entry from Alexandria via LeMat-Bulk: a relaxed structure of Tb2ScBi3 (PBE).

Values from the calculation:
Energy of formation (meV/atom): -797
Energy relative to the lowest polymorph listed for this composition (meV per atom): 0

Geometry as CIF:
```
data_Tb2ScBi3
_chemical_formula_sum 'Tb4 Sc2 Bi6'
_space_group_name_H-M_alt 'P 1'
_space_group_IT_number 1
_cell_length_a 7.6610
_cell_length_b 7.6610
_cell_length_c 7.6521
_cell_angle_alpha 99.61
_cell_angle_beta 99.61
_cell_angle_gamma 120.03
loop_
_space_group_symop_operation_xyz
'x,y,z'
loop_
_atom_site_label
_atom_site_type_symbol
_atom_site_fract_x
_atom_site_fract_y
_atom_site_fract_z
Tb1 Tb 0.0000 0.0000 0.0000
Tb2 Tb 0.1628 0.8372 0.5000
Tb3 Tb 0.5000 0.5000 0.5000
Tb4 Tb 0.8372 0.1628 0.5000
Sc1 Sc 0.3318 0.6682 0.0000
Sc2 Sc 0.6682 0.3318 0.0000
Bi1 Bi 0.0807 0.4225 0.2411
Bi2 Bi 0.2637 0.2637 0.7633
Bi3 Bi 0.4225 0.0807 0.2411
Bi4 Bi 0.5775 0.9193 0.7589
Bi5 Bi 0.7363 0.7363 0.2367
Bi6 Bi 0.9193 0.5775 0.7589
```

| no. | E_tot (eV per cell) |
| --- | --- |
| 1 | -42.37 |
| 2 | -94.72 |
| 3 | -13.76 |
| 4 | -91.19 |
| 5 | -18.21 |
| 6 | -64.04 |